Entry 1:
Crystalline ScTlSi3 at its relaxed geometry. Source: Alexandria, functional GGA-PBE.

Summary:
Size of the total moment, μB per formula unit: 0.0
Symmetry: No. 221
Raw formation energy, eV/atom: 1.272
DOS(E_F), states/eV per atom: 1.02

Unit cell a=5.112 b=5.112 c=5.112 alpha=90.00 beta=90.00 gamma=90.00
Positions (direct):
Sc 0.000 0.000 0.000
Tl 0.500 0.500 0.500
Si 0.000 0.500 0.500
Si 0.500 0.000 0.500
Si 0.500 0.500 0.000



Entry 2:
Crystalline Sc2TlSi at its relaxed geometry. Source: Alexandria, functional GGA-PBE.

Summary:
Size of the total moment, μB per formula unit: 0.0
Symmetry: No. 119
Raw formation energy, eV/atom: -0.334
DOS(E_F), states/eV per atom: 0.68

Unit cell a=5.784 b=5.784 c=5.784 alpha=138.57 beta=138.57 gamma=60.03
Positions (direct):
Sc 0.000 0.000 0.000
Sc 0.750 0.250 0.500
Tl 0.500 0.500 0.000
Si 0.250 0.750 0.500



Entry 3:
Crystalline ScTlSi2 at its relaxed geometry. Source: Alexandria, functional GGA-PBE.

Summary:
Size of the total moment, μB per formula unit: 0.0
Symmetry: No. 122
Raw formation energy, eV/atom: 0.250
DOS(E_F), states/eV per atom: 0.21

Unit cell a=6.095 b=6.095 c=6.095 alpha=103.88 beta=103.88 gamma=121.34
Positions (direct):
Sc 0.000 0.000 0.000
Sc 0.750 0.250 0.500
Tl 0.250 0.750 0.500
Tl 0.500 0.500 0.000
Si 0.134 0.125 0.509
Si 0.375 0.866 0.991
Si 0.616 0.625 0.491
Si 0.875 0.384 0.009



Entry 4:
Crystalline ScTlSi2 at its relaxed geometry. Source: Alexandria, functional GGA-PBE.

Summary:
Size of the total moment, μB per formula unit: 0.0
Symmetry: No. 123
Raw formation energy, eV/atom: 0.073
DOS(E_F), states/eV per atom: 0.63

Unit cell a=3.168 b=3.168 c=8.403 alpha=90.00 beta=90.00 gamma=90.00
Positions (direct):
Sc 0.000 0.000 0.000
Tl 0.000 0.000 0.500
Si 0.500 0.500 0.210
Si 0.500 0.500 0.790



> Which formula does entry 4 have?

ScTlSi2



> Which formula does entry 3 have?

ScTlSi2



> Look up the size of the total moment of the first one.

0.0 μB per formula unit